# 1
This record from Alexandria via LeMat-Bulk describes a geometry-optimized PuScPb structure. The functional is PBE-GGA.

Properties
Formation enthalpy at 0 K: -0.10 eV per atom
Energy above the most stable polymorph in this dataset: 53.8 kJ/mol of formula units
Symmetry: P2_1/m (11)
Total moment: 1.1 μB/cell
Fermi-level density of states: 9.77 states/eV/cell

a b c (Å): 4.7254 3.5241 8.6576
angles (deg): 90.00 95.87 90.00
With the nearest neighbours (Å) after each atom.
Element x y z (fractional)
Pu  0.1557  0.2500  0.0268  2 Pu 2.31
Pu  0.8443  0.7500  0.9732  2 Pu 2.31
Sc  0.2262  0.7500  0.3671  5 Pb 3.04
Sc  0.7738  0.2500  0.6329  5 Pb 3.04
Pb  0.2906  0.7500  0.7201  5 Sc 3.04, 4 Pu 3.19-3.30
Pb  0.7094  0.2500  0.2799  5 Sc 3.04, 4 Pu 3.19-3.30


# 2
This record from Alexandria via LeMat-Bulk describes a geometry-optimized PaCu2As structure. The functional is PBE-GGA.

Properties
Formation enthalpy at 0 K: 0.48 eV per atom
Symmetry: R-3m (166)
Total moment: 0.0 μB/cell
Fermi-level density of states: 4.39 states/eV/cell

a b c (Å): 10.0616 10.0616 10.0616
angles (deg): 16.77 16.77 16.77
With the nearest neighbours (Å) after each atom.
Element x y z (fractional)
Pa  0.0000  0.0000  0.0000  2 Cu 2.93, 6 Pa 2.93
Cu  0.0984  0.0984  0.0984  3 As 2.64, 1 Pa 2.93, 6 Cu 2.93
Cu  0.9016  0.9016  0.9016  3 As 2.64, 1 Pa 2.93, 6 Cu 2.93
As  0.5000  0.5000  0.5000  6 Cu 2.64, 6 As 2.93


# 3
This record from Alexandria via LeMat-Bulk describes a geometry-optimized La2AlTlOs structure. The functional is PBE-GGA.

Properties
Formation enthalpy at 0 K: -0.22 eV per atom
Symmetry: P4/mmm (123)
Total moment: 0.0 μB/cell
Fermi-level density of states: 5.31 states/eV/cell

a b c (Å): 5.5352 5.5352 4.8987
angles (deg): 90.00 90.00 90.00
With the nearest neighbours (Å) after each atom.
Element x y z (fractional)
La  0.0000  0.5000  0.0000  2 Os 2.77
La  0.5000  0.0000  0.0000  2 Os 2.77
Al  0.0000  0.0000  0.5000  2 Os 2.45
Tl  0.5000  0.5000  0.5000  8 La 3.70, 4 Al 3.91
Os  0.0000  0.0000  0.0000  2 Al 2.45


# 4
This record from Alexandria via LeMat-Bulk describes a geometry-optimized SiSb2Os structure. The functional is PBE-GGA.

Properties
Symmetry: Cmm2 (35)
Total moment: 0.0 μB/cell
Formation energy from raw total energies: 47.8 kJ per mole of atoms
Fermi-level density of states: 2.67 states/eV/cell

a b c (Å): 3.0922 3.0922 9.8444
angles (deg): 90.00 90.00 117.81
With the nearest neighbours (Å) after each atom.
Element x y z (fractional)
Si  0.0000  0.0000  0.0000  2 Os 2.37
Sb  0.0000  0.0000  0.5892  2 Os 2.80, 4 Sb 3.09
Sb  0.5000  0.5000  0.2584  2 Si 3.00, 6 Sb 3.09-3.19
Os  0.5000  0.5000  0.8227  2 Si 2.37


| no. | calculated total energy (eV/atom) |
| --- | --- |
| 1 | -8.23 |
| 2 | -5.10 |
| 3 | -5.66 |
| 4 | -5.73 |